No. 1
VASP calculation (PBE-GGA) on a relaxed structure of Ce2PaRh2.

Values from the calculation:
D(E_F), states/eV per cell: 22.052
Energy of formation from the pure elements, eV per atom: -0.587

Lattice parameters (Å, degrees): 6.262 6.262 7.210 98.41 98.41 59.04
Element x y z (fractional)
1 Ce 0.041 0.245 0.147
2 Ce 0.245 0.041 0.647
3 Ce 0.755 0.959 0.353
4 Ce 0.959 0.755 0.853
5 Pa 0.394 0.606 0.250
6 Pa 0.606 0.394 0.750
7 Rh 0.241 0.440 0.473
8 Rh 0.440 0.241 0.973
9 Rh 0.560 0.759 0.027
10 Rh 0.759 0.560 0.527

=====

No. 2
VASP calculation (PBE-GGA) on a relaxed structure of Pm6Y2Tl.

Values from the calculation:
D(E_F), states/eV per cell: 15.544
Energy of formation from the pure elements, eV per atom: 0.012

Lattice parameters (Å, degrees): 9.834 9.834 3.471 90.23 90.23 59.93
Element x y z (fractional)
1 Pm 0.173 0.500 0.006
2 Pm 0.175 0.825 0.000
3 Pm 0.500 0.173 0.006
4 Pm 0.500 0.827 0.994
5 Pm 0.825 0.175 0.000
6 Pm 0.827 0.500 0.994
7 Y 0.166 0.166 0.500
8 Y 0.834 0.834 0.500
9 Tl 0.500 0.500 0.500

=====

> energy of formation from the pure elements of number 2 (Pm6Y2Tl)?

0.012 eV per atom